1.
TaAgPb2 after structural relaxation. Source: Alexandria via LeMat-Bulk, functional PBE.

Lattice parameters (Å, degrees): 5.1144 3.0739 5.9120 87.29 90.00 90.00
Sites, in units of the cell vectors:
Ag: 0.5000 0.7500 0.7500
Pb: 0.0000 0.5275 0.4955
Pb: 0.0000 0.9725 0.0045
Ta: 0.5000 0.2500 0.2500

Energy relative to the lowest polymorph listed for this composition   278 meV/atom
Energy of formation from the pure elements   0.6085 eV/atom
Uncorrected energy   -19.69 eV/f.u.

2.
NpZn3Ir2 after structural relaxation. Source: Alexandria via LeMat-Bulk, functional PBE.

Lattice parameters (Å, degrees): 5.0587 5.0587 9.1757 108.21 108.21 103.81
Last column: magnetic moment on the atom in μB.
Sites, in units of the cell vectors:
Ir: 0.3240 0.1588 0.6314  -0.21
Ir: 0.6760 0.8412 0.3686  -0.21
Ir: 0.8412 0.6760 0.8686  -0.21
Ir: 0.1588 0.3240 0.1314  -0.21
Np: 0.8944 0.1056 0.7500  3.13
Np: 0.1056 0.8944 0.2500  3.13
Zn: 0.7144 0.2856 0.2500  -0.01
Zn: 0.5734 0.2713 0.9662  0.00
Zn: 0.4266 0.7287 0.0338  0.00
Zn: 0.7287 0.4266 0.5338  0.00
Zn: 0.2856 0.7144 0.7500  -0.01
Zn: 0.2713 0.5734 0.4662  0.00

Energy of formation from the pure elements   -0.1880 eV/atom
Uncorrected energy   -35.61 eV/f.u.